{
  "formula": "CaMoP2",
  "functional": "GGA-PBE",
  "state": "optimized geometry",
  "polymorph_energy_mev_per_atom": 527,
  "vol_a3_per_atom": 16.53,
  "formation_energy_ev_per_atom": -0.21,
  "lattice": [[0.000, 3.209, 3.209], [3.209, 0.000, 3.209], [3.209, 3.209, 0.000]],
  "species": ["Ca", "Mo", "P", "P"],
  "fractional_positions": [[0.000, 0.000, 0.000], [0.500, 0.500, 0.500], [0.250, 0.250, 0.250], [0.750, 0.750, 0.750]]
}